Entry 1:
This record from Alexandria via LeMat-Bulk describes a relaxed UMnPN crystal. The functional is PBE-GGA.

Unit cell a=3.7348 b=3.7348 c=8.0751 alpha=90.00 beta=90.00 gamma=90.00
Space group P4/nmm (No. 129, origin choice 2)
Symmetry-distinct sites (fractional):
U (0.2500, 0.2500, 0.1515) (multiplicity 2)
Mn (0.2500, 0.7500, 0.5000) (multiplicity 2)
P (0.2500, 0.2500, 0.6672) (multiplicity 2)
N (0.2500, 0.7500, 0.0000) (multiplicity 2)

formation energy from raw total energies	-1.081	eV per atom

***

Entry 2:
This record from Alexandria via LeMat-Bulk describes a relaxed Y2CuBr crystal. The functional is PBE-GGA.

Unit cell a=3.9384 b=3.9384 c=23.1045 alpha=90.00 beta=90.00 gamma=120.00
Space group R3m (No. 160, hexagonal axes)
Symmetry-distinct sites (fractional):
Y (0.0000, 0.0000, 0.0000) (multiplicity 3)
Y (0.0000, 0.0000, 0.1955) (multiplicity 3)
Cu (0.0000, 0.0000, 0.5971) (multiplicity 3)
Br (0.0000, 0.0000, 0.7659) (multiplicity 3)

formation energy from raw total energies	-0.606	eV per atom

***

Entry 3:
This record from Alexandria via LeMat-Bulk describes a relaxed AsSeIO2 crystal. The functional is PBE-GGA.

Unit cell a=3.9191 b=3.9191 c=7.8494 alpha=90.00 beta=90.00 gamma=90.00
Space group P4/mmm (No. 123)
Symmetry-distinct sites (fractional):
As (0.0000, 0.0000, 0.0000) (multiplicity 1)
Se (0.5000, 0.5000, 0.5000) (multiplicity 1)
I (0.5000, 0.5000, 0.0000) (multiplicity 1)
O (0.0000, 0.5000, 0.5000) (multiplicity 2)

formation energy from raw total energies	0.283	eV per atom

***

Entry 4:
This record from Alexandria via LeMat-Bulk describes a relaxed FePd6Au2 crystal. The functional is PBE-GGA.

Unit cell a=11.2218 b=9.1914 c=6.7219 alpha=90.00 beta=122.82 gamma=90.00
Space group C2/c (No. 15)
Symmetry-distinct sites (fractional):
Fe (0.0000, 0.1720, 0.2500) (multiplicity 4)
Pd (0.0181, 0.3638, 0.5724) (multiplicity 8)
Pd (0.0986, 0.0798, 0.6892) (multiplicity 8)
Pd (0.2000, 0.1846, 0.1346) (multiplicity 8)
Au (0.1904, 0.4161, 0.4068) (multiplicity 8)

***

Entry 5:
This record from Alexandria via LeMat-Bulk describes a relaxed CdRu2Se crystal. The functional is PBE-GGA.

Unit cell a=5.8491 b=8.9575 c=2.8844 alpha=90.00 beta=118.17 gamma=90.00
Space group C2/m (No. 12)
Symmetry-distinct sites (fractional):
Cd (0.0000, 0.0000, 0.0000) (multiplicity 2)
Ru (0.2500, 0.2500, 0.5000) (multiplicity 4)
Se (0.0000, 0.5000, 0.0000) (multiplicity 2)

formation energy from raw total energies	0.623	eV per atom

***

Entry 6:
This record from Alexandria via LeMat-Bulk describes a relaxed CrCuTe2N crystal. The functional is PBE-GGA.

Unit cell a=5.3790 b=5.3790 c=3.5108 alpha=90.00 beta=90.00 gamma=90.00
Space group P4/mmm (No. 123)
Symmetry-distinct sites (fractional):
Cr (0.0000, 0.0000, 0.0000) (multiplicity 1)
Cu (0.5000, 0.5000, 0.5000) (multiplicity 1)
Te (0.0000, 0.5000, 0.5000) (multiplicity 2)
N (0.5000, 0.5000, 0.0000) (multiplicity 1)

formation energy from raw total energies	0.825	eV per atom

***

In eV/cell, the DFT total energy values for the records above are, in order, -77.0 -63.4 -18.2 -183.1 -40.9 -24.2.